[1]
Compound: Rb2SnSb
Source: Alexandria
Functional: PBE
Structure: optimized geometry

Cell and atoms, written as CIF:
```
data_Rb2SnSb
_symmetry_space_group_name_H-M 'F m -3 m'
_symmetry_Int_Tables_number 225
_symmetry_space_group_name_Hall '-F 4 2 3'
_cell_length_a 8.619
_cell_length_b 8.619
_cell_length_c 8.619
_cell_angle_alpha 90.00
_cell_angle_beta 90.00
_cell_angle_gamma 90.00
loop_
_atom_site_label
_atom_site_type_symbol
_atom_site_fract_x
_atom_site_fract_y
_atom_site_fract_z
_atom_site_occupancy
Rb1 Rb 0.250 0.250 0.250 1
Sn1 Sn 0.000 0.000 0.000 1
Sb1 Sb 0.000 0.000 0.500 1
```

For the volume, the calculation gives 640 Å³ per cell. Its uncorrected formation energy is 0.27 eV per formula unit. For the density of states at the Fermi level, the calculation gives 13.03 states/eV per cell.



[2]
Compound: Sr3HgPb2
Source: Alexandria
Functional: PBE
Structure: optimized geometry

Cell and atoms, written as CIF:
```
data_Sr3HgPb2
_symmetry_space_group_name_H-M 'C m m m'
_symmetry_Int_Tables_number 65
_symmetry_space_group_name_Hall '-C 2 2'
_cell_length_a 5.846
_cell_length_b 17.675
_cell_length_c 3.963
_cell_angle_alpha 90.00
_cell_angle_beta 90.00
_cell_angle_gamma 90.00
loop_
_atom_site_label
_atom_site_type_symbol
_atom_site_fract_x
_atom_site_fract_y
_atom_site_fract_z
_atom_site_occupancy
Sr1 Sr 0.000 0.000 0.000 1
Sr2 Sr 0.000 0.334 0.000 1
Hg1 Hg 0.000 0.500 0.500 1
Pb1 Pb 0.000 0.163 0.500 1
```

The formation energy from the elements is -544.2 meV/atom. For the volume, the calculation gives 409 Å³ per cell. For the density of states at the Fermi level, the calculation gives 6.86 states/eV per cell.